CdIr5: relaxed, GGA-PBE.

Values from the calculation:
**E_tot**: -6.946 eV per atom
**DOS at the Fermi energy**: 44.93 states/eV/cell
**Energy relative to the elements**: 590 meV/atom

Cell lengths 7.3420, 7.3420, 7.3420 Å; angles 90.00, 90.00, 90.00 degrees
Space group F-43m (No. 216)
One atom of each set of equivalent atoms:
1 Cd 0.0000 0.0000 0.0000
2 Ir 0.1247 0.1247 0.6247
3 Ir 0.2500 0.2500 0.2500